{"formula": "HfZr3S8", "functional": "PBE-GGA", "state": "optimized geometry", "e_form_raw_mev_per_atom": -1534, "mass_density_g_cm3": 3.688, "spacegroup": "C2/m, No. 12", "m_tot_mub_per_atom": 0.00, "lattice_angstrom": [[7.359, 0.000, 0.000], [-3.680, 5.229, -3.644], [0.000, 0.354, 8.046]], "species": ["S", "S", "S", "S", "S", "S", "S", "S", "Zr", "Zr", "Zr", "Hf"], "fractional_positions": [[0.237, 0.474, 0.213], [0.261, 0.521, 0.785], [0.763, 0.526, 0.787], [0.739, 0.479, 0.215], [0.258, 0.021, 0.787], [0.763, 0.021, 0.787], [0.742, 0.979, 0.213], [0.237, 0.979, 0.213], [0.500, 0.500, 0.000], [0.000, 0.500, 0.000], [0.500, 0.000, 0.000], [0.000, 0.000, 0.000]]}

=====

{"formula": "ErPaMnOs", "functional": "PBE-GGA", "state": "optimized geometry", "mass_density_g_cm3": 13.540, "spacegroup": "F-43m, No. 216", "m_tot_mub_per_atom": 0.41, "delta_e_f_ev_per_fu": -0.24, "lattice_angstrom": [[4.815, 0.000, 0.000], [2.407, 4.170, 0.000], [2.407, 1.390, 3.931]], "species": ["Pa", "Er", "Os", "Mn"], "fractional_positions": [[0.500, 0.500, 0.500], [0.000, 0.000, 0.000], [0.250, 0.250, 0.250], [0.750, 0.750, 0.750]]}